[1]
The following is a DFT calculation (PBE) of an optimized crystal structure of SrPSe2Br.

Results
E above lowest polymorph in meV/atom: 0
Total magnetization in μB/cell: 0.0
Energy relative to the elements, uncorrected in eV/atom: -0.686

```
data_SrPSe2Br
_chemical_formula_sum 'Sr1 P1 Se2 Br1'
_space_group_name_H-M_alt 'P 4/m m m'
_space_group_IT_number 123
_space_group_name_Hall '-P 4 2'
_cell_length_a 5.040
_cell_length_b 5.040
_cell_length_c 5.096
_cell_angle_alpha 90.00
_cell_angle_beta 90.00
_cell_angle_gamma 90.00
loop_
_atom_site_label
_atom_site_type_symbol
_atom_site_fract_x
_atom_site_fract_y
_atom_site_fract_z
Sr1 Sr 0.000 0.000 0.000
P1 P 0.500 0.500 0.500
Se1 Se 0.000 0.500 0.500
Br1 Br 0.500 0.500 0.000
```

---

[2]
The following is a DFT calculation (PBE) of an optimized crystal structure of SrPSeBr2.

Results
E above lowest polymorph in meV/atom: 648
Total magnetization in μB/cell: 1.0
Energy relative to the elements, uncorrected in eV/atom: -0.091

```
data_SrPSeBr2
_chemical_formula_sum 'Sr1 P1 Se1 Br2'
_space_group_name_H-M_alt 'P 4/m m m'
_space_group_IT_number 123
_space_group_name_Hall '-P 4 2'
_cell_length_a 5.849
_cell_length_b 5.849
_cell_length_c 6.408
_cell_angle_alpha 90.00
_cell_angle_beta 90.00
_cell_angle_gamma 90.00
loop_
_atom_site_label
_atom_site_type_symbol
_atom_site_fract_x
_atom_site_fract_y
_atom_site_fract_z
Sr1 Sr 0.000 0.000 0.000
P1 P 0.500 0.500 0.500
Se1 Se 0.000 0.000 0.500
Br1 Br 0.000 0.500 0.000
```

---

[3]
The following is a DFT calculation (PBE) of an optimized crystal structure of SrPSeBr2.

Results
E above lowest polymorph in meV/atom: 0
Total magnetization in μB/cell: 0.0
Energy relative to the elements, uncorrected in eV/atom: -0.739

```
data_SrPSeBr2
_chemical_formula_sum 'Sr1 P1 Se1 Br2'
_space_group_name_H-M_alt 'P 4/m m m'
_space_group_IT_number 123
_space_group_name_Hall '-P 4 2'
_cell_length_a 5.095
_cell_length_b 5.095
_cell_length_c 5.300
_cell_angle_alpha 90.00
_cell_angle_beta 90.00
_cell_angle_gamma 90.00
loop_
_atom_site_label
_atom_site_type_symbol
_atom_site_fract_x
_atom_site_fract_y
_atom_site_fract_z
Sr1 Sr 0.000 0.000 0.000
P1 P 0.500 0.500 0.500
Se1 Se 0.500 0.500 0.000
Br1 Br 0.000 0.500 0.500
```

---

[4]
The following is a DFT calculation (PBE) of an optimized crystal structure of SrPSeBr2.

Results
E above lowest polymorph in meV/atom: 685
Total magnetization in μB/cell: 1.9
Energy relative to the elements, uncorrected in eV/atom: -0.054

```
data_SrPSeBr2
_chemical_formula_sum 'Sr1 P1 Se1 Br2'
_space_group_name_H-M_alt 'P 4/m m m'
_space_group_IT_number 123
_space_group_name_Hall '-P 4 2'
_cell_length_a 5.152
_cell_length_b 5.152
_cell_length_c 6.473
_cell_angle_alpha 90.00
_cell_angle_beta 90.00
_cell_angle_gamma 90.00
loop_
_atom_site_label
_atom_site_type_symbol
_atom_site_fract_x
_atom_site_fract_y
_atom_site_fract_z
Sr1 Sr 0.000 0.000 0.000
P1 P 0.500 0.500 0.000
Se1 Se 0.000 0.000 0.500
Br1 Br 0.000 0.500 0.500
```

---

[5]
The following is a DFT calculation (PBE) of an optimized crystal structure of Sr6PSe3Br2.

Results
Total magnetization in μB/cell: 0.0
Energy relative to the elements, uncorrected in eV/atom: -1.801

```
data_Sr6PSe3Br2
_chemical_formula_sum 'Sr12 P2 Se6 Br4'
_space_group_name_H-M_alt 'C 1 2/m 1'
_space_group_IT_number 12
_space_group_name_Hall '-C 2y'
_cell_length_a 7.748
_cell_length_b 13.382
_cell_length_c 7.690
_cell_angle_alpha 90.00
_cell_angle_beta 109.51
_cell_angle_gamma 90.00
loop_
_atom_site_label
_atom_site_type_symbol
_atom_site_fract_x
_atom_site_fract_y
_atom_site_fract_z
Sr1 Sr 0.223 0.000 0.242
Sr2 Sr 0.241 0.155 0.757
P1 P 0.000 0.000 0.500
Se1 Se 0.000 0.174 0.000
Se2 Se 0.000 0.500 0.000
Br1 Br 0.000 0.335 0.500
```

---

[6]
The following is a DFT calculation (PBE) of an optimized crystal structure of SrPSe2Br.

Results
E above lowest polymorph in meV/atom: 1166
Total magnetization in μB/cell: 0.0
Energy relative to the elements, uncorrected in eV/atom: 0.480

```
data_SrPSe2Br
_chemical_formula_sum 'Sr1 P1 Se2 Br1'
_space_group_name_H-M_alt 'P 4/m m m'
_space_group_IT_number 123
_space_group_name_Hall '-P 4 2'
_cell_length_a 5.887
_cell_length_b 5.887
_cell_length_c 5.593
_cell_angle_alpha 90.00
_cell_angle_beta 90.00
_cell_angle_gamma 90.00
loop_
_atom_site_label
_atom_site_type_symbol
_atom_site_fract_x
_atom_site_fract_y
_atom_site_fract_z
Sr1 Sr 0.000 0.000 0.000
P1 P 0.500 0.500 0.500
Se1 Se 0.000 0.500 0.000
Br1 Br 0.000 0.000 0.500
```

---

[7]
The following is a DFT calculation (PBE) of an optimized crystal structure of Sr8P3SeBr4.

Results
Total magnetization in μB/cell: 0.0
Energy relative to the elements, uncorrected in eV/atom: -1.625

```
data_Sr8P3SeBr4
_chemical_formula_sum 'Sr24 P9 Se3 Br12'
_space_group_name_H-M_alt 'R -3 m'
_space_group_IT_number 166
_space_group_name_Hall '-R 3 2"'
_cell_length_a 8.9431
_cell_length_b 8.9431
_cell_length_c 22.2303
_cell_angle_alpha 90.00
_cell_angle_beta 90.00
_cell_angle_gamma 120.00
loop_
_atom_site_label
_atom_site_type_symbol
_atom_site_fract_x
_atom_site_fract_y
_atom_site_fract_z
Sr1 Sr 0.0000 0.0000 0.2371
Sr2 Sr 0.0104 0.5052 0.7624
P1 P 0.0000 0.5000 0.5000
Se1 Se 0.0000 0.0000 0.5000
Br1 Br 0.0000 0.0000 0.0000
Br2 Br 0.0000 0.5000 0.0000
```

---

[8]
The following is a DFT calculation (PBE) of an optimized crystal structure of TaPSe2Br.

Results
E above lowest polymorph in meV/atom: 578
Total magnetization in μB/cell: 2.2
Energy relative to the elements, uncorrected in eV/atom: 0.939

```
data_TaPSe2Br
_chemical_formula_sum 'Ta1 P1 Se2 Br1'
_space_group_name_H-M_alt 'P 4/m m m'
_space_group_IT_number 123
_space_group_name_Hall '-P 4 2'
_cell_length_a 4.859
_cell_length_b 4.859
_cell_length_c 4.735
_cell_angle_alpha 90.00
_cell_angle_beta 90.00
_cell_angle_gamma 90.00
loop_
_atom_site_label
_atom_site_type_symbol
_atom_site_fract_x
_atom_site_fract_y
_atom_site_fract_z
Ta1 Ta 0.000 0.000 0.000
P1 P 0.500 0.500 0.500
Se1 Se 0.000 0.500 0.500
Br1 Br 0.500 0.500 0.000
```